#one
Entry from Alexandria: Sr8Zn2Ga after structural relaxation (PBE).

Properties
The value obtained for the total magnetization is 0.000 μB/atom. The value obtained for the calculated density is 3.414 Mg/m³. The calculation puts the density of states at the Fermi level at 1.1703 states/eV/atom.

abc: 10.5512 10.5512 7.9478
angles: 107.00 107.00 31.34
With the nearest neighbours (Å) after each atom.
Fractional coordinates of all 11 atoms:
Sr 0.0342 0.0342 0.3001  1 Zn 3.32, 2 Ga 3.43
Sr 0.2050 0.2050 0.8225  1 Zn 3.24
Sr 0.3315 0.3315 0.5314  3 Zn 3.30-3.58, 1 Ga 3.51
Sr 0.4080 0.4080 0.0571  1 Ga 3.45, 2 Zn 3.70
Sr 0.5920 0.5920 0.9429  1 Ga 3.45, 2 Zn 3.70
Sr 0.6685 0.6685 0.4686  3 Zn 3.30-3.58, 1 Ga 3.51
Sr 0.7950 0.7950 0.1775  1 Zn 3.24
Sr 0.9658 0.9658 0.6999  1 Zn 3.32, 2 Ga 3.43
Zn 0.1837 0.1837 0.2109  5 Sr 3.24-3.58
Zn 0.8163 0.8163 0.7891  5 Sr 3.24-3.58
Ga 0.5000 0.5000 0.5000  8 Sr 3.43-3.51

#two
Entry from Alexandria: Sr8Zn2Ga after structural relaxation (PBE).

Properties
The value obtained for the total magnetization is 0.000 μB/atom. The value obtained for the calculated density is 3.180 Mg/m³. The calculation puts the density of states at the Fermi level at 1.1279 states/eV/atom.

abc: 8.8625 8.8625 6.9015
angles: 100.85 100.85 112.62
With the nearest neighbours (Å) after each atom.
Fractional coordinates of all 11 atoms:
Sr 0.0000 0.0000 0.0000  1 Ga 3.51, 2 Zn 3.52
Sr 0.0154 0.2755 0.5999  2 Zn 3.28, 1 Ga 3.42
Sr 0.1512 0.5665 0.1928  1 Ga 3.34
Sr 0.2755 0.0154 0.5999  2 Zn 3.28, 1 Ga 3.42
Sr 0.4318 0.6933 0.8039  2 Zn 3.30-3.32, 1 Ga 3.38
Sr 0.5665 0.1512 0.1928  1 Ga 3.34
Sr 0.6933 0.4318 0.8039  2 Zn 3.30-3.32, 1 Ga 3.38
Sr 0.7088 0.7088 0.3735  2 Zn 3.50, 1 Ga 3.55
Zn 0.0370 0.6608 0.6859  6 Sr 3.28-3.52
Zn 0.6608 0.0370 0.6859  6 Sr 3.28-3.52
Ga 0.3569 0.3569 0.9981  8 Sr 3.34-3.55

Least stable = #two

#one
Entry from Alexandria: SrZn2Ga6 after structural relaxation (PBE).

Properties
The value obtained for the total magnetization is 0.000 μB/atom. The value obtained for the calculated density is 5.697 Mg/m³. The calculation puts the density of states at the Fermi level at 0.4780 states/eV/atom.

abc: 7.9198 7.9198 3.4169
angles: 90.00 90.00 120.00
With the nearest neighbours (Å) after each atom.
Fractional coordinates of all 9 atoms:
Sr 0.0000 0.0000 0.0000  12 Ga 3.22, 2 Sr 3.42
Zn 0.3333 0.6667 0.0000  12 Ga 3.11, 2 Zn 3.42
Zn 0.6667 0.3333 0.0000  12 Ga 3.11, 2 Zn 3.42
Ga 0.0000 0.3443 0.5000  3 Ga 2.47-2.73
Ga 0.0000 0.6557 0.5000  3 Ga 2.47-2.73
Ga 0.3443 0.0000 0.5000  3 Ga 2.47-2.73
Ga 0.3443 0.3443 0.5000  3 Ga 2.47-2.73
Ga 0.6557 0.0000 0.5000  3 Ga 2.47-2.73
Ga 0.6557 0.6557 0.5000  3 Ga 2.47-2.73

#two
Entry from Alexandria: SrZn2Ga6 after structural relaxation (PBE).

Properties
The value obtained for the total magnetization is 0.000 μB/atom. The value obtained for the calculated density is 5.785 Mg/m³. The calculation puts the density of states at the Fermi level at 0.1626 states/eV/atom.

abc: 4.8610 4.8610 7.7354
angles: 90.00 90.00 90.00
With the nearest neighbours (Å) after each atom.
Fractional coordinates of all 9 atoms:
Sr 0.0000 0.0000 0.0000  8 Ga 3.43, 8 Zn 3.65
Zn 0.5000 0.5000 0.1581  1 Zn 2.45, 5 Ga 2.64-2.71
Zn 0.5000 0.5000 0.8419  1 Zn 2.45, 5 Ga 2.64-2.71
Ga 0.0000 0.0000 0.5000  8 Ga 2.83
Ga 0.0000 0.5000 0.3133  2 Zn 2.71, 5 Ga 2.83-2.89
Ga 0.0000 0.5000 0.6867  2 Zn 2.71, 5 Ga 2.83-2.89
Ga 0.5000 0.0000 0.3133  2 Zn 2.71, 5 Ga 2.83-2.89
Ga 0.5000 0.0000 0.6867  2 Zn 2.71, 5 Ga 2.83-2.89
Ga 0.5000 0.5000 0.5000  2 Zn 2.64, 8 Ga 2.83

Least stable = #one

#one
Entry from Alexandria: Sr8ZnGa2 after structural relaxation (PBE).

Properties
The value obtained for the total magnetization is 0.000 μB/atom. The value obtained for the calculated density is 3.237 Mg/m³. The calculation puts the density of states at the Fermi level at 1.0365 states/eV/atom.

abc: 8.8891 8.8891 6.6596
angles: 100.08 100.08 111.68
With the nearest neighbours (Å) after each atom.
Fractional coordinates of all 11 atoms:
Sr 0.0000 0.0000 0.0000  2 Ga 3.40, 1 Zn 3.67
Sr 0.0284 0.2943 0.5908  2 Ga 3.31-3.32, 1 Zn 3.48
Sr 0.1422 0.5823 0.1918  1 Zn 3.43, 2 Ga 3.58-3.63
Sr 0.2943 0.0284 0.5908  2 Ga 3.31-3.32, 1 Zn 3.48
Sr 0.4370 0.7008 0.7836  2 Ga 3.29-3.31, 1 Zn 3.51
Sr 0.5823 0.1422 0.1918  1 Zn 3.43, 2 Ga 3.58-3.63
Sr 0.7008 0.4370 0.7836  2 Ga 3.29-3.31, 1 Zn 3.51
Sr 0.7299 0.7299 0.3949  2 Ga 3.43, 1 Zn 3.61
Zn 0.3623 0.3623 0.3618  8 Sr 3.43-3.67
Ga 0.0548 0.6835 0.6994  8 Sr 3.29-3.63
Ga 0.6835 0.0548 0.6994  8 Sr 3.29-3.63

#two
Entry from Alexandria: Sr8ZnGa2 after structural relaxation (PBE).

Properties
The value obtained for the total magnetization is 0.000 μB/atom. The value obtained for the calculated density is 3.485 Mg/m³. The calculation puts the density of states at the Fermi level at 0.7541 states/eV/atom.

abc: 10.5530 10.5530 7.9199
angles: 107.12 107.12 30.93
With the nearest neighbours (Å) after each atom.
Fractional coordinates of all 11 atoms:
Sr 0.0349 0.0349 0.2928  1 Ga 3.31, 2 Zn 3.44
Sr 0.2051 0.2051 0.8179  1 Ga 3.24
Sr 0.3301 0.3301 0.5355  3 Ga 3.29-3.54, 1 Zn 3.55
Sr 0.4033 0.4033 0.0501  1 Zn 3.50, 2 Ga 3.61, 4 Sr 3.89-3.91
Sr 0.5967 0.5967 0.9499  1 Zn 3.50, 2 Ga 3.61, 4 Sr 3.89-3.91
Sr 0.6699 0.6699 0.4645  3 Ga 3.29-3.54, 1 Zn 3.55
Sr 0.7949 0.7949 0.1821  1 Ga 3.24
Sr 0.9651 0.9651 0.7072  1 Ga 3.31, 2 Zn 3.44
Zn 0.5000 0.5000 0.5000  8 Sr 3.44-3.55
Ga 0.1846 0.1846 0.2078  7 Sr 3.24-3.61
Ga 0.8154 0.8154 0.7922  7 Sr 3.24-3.61

Least stable = #one

#one
Entry from Alexandria: Sr2Zr2Ga after structural relaxation (PBE).

Properties
The value obtained for the total magnetization is 0.000 μB/atom. The value obtained for the calculated density is 4.281 Mg/m³. The calculation puts the density of states at the Fermi level at 1.3697 states/eV/atom.

abc: 10.8437 10.8437 10.8437
angles: 158.86 158.86 30.08
With the nearest neighbours (Å) after each atom.
Fractional coordinates of all 5 atoms:
Sr 0.0923 0.0923 0.0000  4 Ga 3.41
Sr 0.9077 0.9077 0.0000  4 Ga 3.41
Zr 0.2500 0.7500 0.5000  4 Zr 2.81
Zr 0.7500 0.2500 0.5000  4 Zr 2.81
Ga 0.5000 0.5000 0.0000  8 Sr 3.41

#two
Entry from Alexandria: Sr2Zr2Ga after structural relaxation (PBE).

Properties
The value obtained for the total magnetization is 0.000 μB/atom. The value obtained for the calculated density is 4.208 Mg/m³. The calculation puts the density of states at the Fermi level at 0.7869 states/eV/atom.

abc: 9.8286 9.8286 3.4922
angles: 90.00 90.00 90.00
With the nearest neighbours (Å) after each atom.
Fractional coordinates of all 10 atoms:
Sr 0.1969 0.3031 0.0000  6 Zr 3.37-3.51, 2 Sr 3.49, 2 Ga 3.55
Sr 0.3031 0.8031 0.0000  6 Zr 3.37-3.51, 2 Sr 3.49, 2 Ga 3.55
Sr 0.6969 0.1969 0.0000  6 Zr 3.37-3.51, 2 Sr 3.49, 2 Ga 3.55
Sr 0.8031 0.6969 0.0000  6 Zr 3.37-3.51, 2 Sr 3.49, 2 Ga 3.55
Zr 0.0955 0.5955 0.5000  1 Zr 2.65
Zr 0.4045 0.0955 0.5000  1 Zr 2.65
Zr 0.5955 0.9045 0.5000  1 Zr 2.65
Zr 0.9045 0.4045 0.5000  1 Zr 2.65
Ga 0.0000 0.0000 0.0000  2 Ga 3.49, 4 Sr 3.55
Ga 0.5000 0.5000 0.0000  2 Ga 3.49, 4 Sr 3.55

Least stable = #two

#one
Entry from Alexandria: Ta3Ga2 after structural relaxation (PBE).

Properties
The value obtained for the total magnetization is 0.000 μB/atom. The value obtained for the calculated density is 13.519 Mg/m³. The calculation puts the density of states at the Fermi level at 0.2841 states/eV/atom.

abc: 6.9095 6.9095 3.5108
angles: 90.00 90.00 90.00
With the nearest neighbours (Å) after each atom.
Fractional coordinates of all 10 atoms:
Ta 0.0000 0.0000 0.0000  4 Ga 2.73
Ta 0.1752 0.3248 0.5000  6 Ga 2.62-2.74
Ta 0.3248 0.8248 0.5000  6 Ga 2.62-2.74
Ta 0.5000 0.5000 0.0000  4 Ga 2.73
Ta 0.6752 0.1752 0.5000  6 Ga 2.62-2.74
Ta 0.8248 0.6752 0.5000  6 Ga 2.62-2.74
Ga 0.1262 0.6262 0.0000  1 Ga 2.47, 8 Ta 2.62-2.74
Ga 0.3738 0.1262 0.0000  1 Ga 2.47, 8 Ta 2.62-2.74
Ga 0.6262 0.8738 0.0000  1 Ga 2.47, 8 Ta 2.62-2.74
Ga 0.8738 0.3738 0.0000  1 Ga 2.47, 8 Ta 2.62-2.74

#two
Entry from Alexandria: Ta3Ga2 after structural relaxation (PBE).

Properties
The value obtained for the total magnetization is 0.000 μB/atom. The value obtained for the calculated density is 13.137 Mg/m³. The calculation puts the density of states at the Fermi level at 0.5873 states/eV/atom.

abc: 5.2523 5.2523 5.2523
angles: 138.56 111.45 83.38
With the nearest neighbours (Å) after each atom.
Fractional coordinates of all 5 atoms:
Ta 0.0000 0.0000 0.0000  4 Ga 2.57
Ta 0.2807 0.7807 0.5000  6 Ga 2.80-2.83, 2 Ta 2.88
Ta 0.7193 0.2193 0.5000  6 Ga 2.80-2.83, 2 Ta 2.88
Ga 0.2998 0.5000 0.7998  1 Ga 2.37, 2 Ta 2.57
Ga 0.7002 0.5000 0.2002  1 Ga 2.37, 2 Ta 2.57

Least stable = #two

#one
Entry from Alexandria: TaGa2Tc2 after structural relaxation (PBE).

Properties
The value obtained for the total magnetization is 0.000 μB/atom. The value obtained for the calculated density is 9.940 Mg/m³. The calculation puts the density of states at the Fermi level at 0.6176 states/eV/atom.

abc: 5.6270 5.6270 5.6270
angles: 135.51 135.51 64.74
With the nearest neighbours (Å) after each atom.
Fractional coordinates of all 5 atoms:
Ta 0.0000 0.0000 0.0000  8 Ga 3.19, 8 Tc 3.21
Ga 0.2500 0.7500 0.5000  4 Tc 2.48
Ga 0.7500 0.2500 0.5000  4 Tc 2.48
Tc 0.3841 0.3841 0.0000  1 Tc 2.20
Tc 0.6159 0.6159 0.0000  1 Tc 2.20

#two
Entry from Alexandria: TaGa2Tc2 after structural relaxation (PBE).

Properties
The value obtained for the total magnetization is 0.000 μB/atom. The value obtained for the calculated density is 10.852 Mg/m³. The calculation puts the density of states at the Fermi level at 0.5458 states/eV/atom.

abc: 7.0149 7.0149 3.2114
angles: 90.00 90.00 90.00
With the nearest neighbours (Å) after each atom.
Fractional coordinates of all 10 atoms:
Ta 0.0000 0.0000 0.0000  4 Tc 2.69
Ta 0.5000 0.5000 0.0000  4 Tc 2.69
Ga 0.1540 0.3460 0.5000  6 Tc 2.57-2.64
Ga 0.3460 0.8460 0.5000  6 Tc 2.57-2.64
Ga 0.6540 0.1540 0.5000  6 Tc 2.57-2.64
Ga 0.8460 0.6540 0.5000  6 Tc 2.57-2.64
Tc 0.1439 0.6439 0.0000  6 Ga 2.57-2.64, 2 Ta 2.69, 1 Tc 2.86
Tc 0.3561 0.1439 0.0000  6 Ga 2.57-2.64, 2 Ta 2.69, 1 Tc 2.86
Tc 0.6439 0.8561 0.0000  6 Ga 2.57-2.64, 2 Ta 2.69, 1 Tc 2.86
Tc 0.8561 0.3561 0.0000  6 Ga 2.57-2.64, 2 Ta 2.69, 1 Tc 2.86

Least stable = #one

#one
Entry from Alexandria: TaGa2Tc after structural relaxation (PBE).

Properties
The value obtained for the total magnetization is 0.000 μB/atom. The value obtained for the calculated density is 10.824 Mg/m³. The calculation puts the density of states at the Fermi level at 0.9414 states/eV/atom.

abc: 8.8218 8.8218 8.8218
angles: 19.09 19.09 19.09
With the nearest neighbours (Å) after each atom.
Fractional coordinates of all 4 atoms:
Ta 0.0000 0.0000 0.0000  6 Ga 2.83-2.86, 6 Ta 2.93
Ga 0.5776 0.5776 0.5776  3 Tc 2.65, 3 Ta 2.86, 6 Ga 2.93
Ga 0.7543 0.7543 0.7543  3 Tc 2.64, 3 Ta 2.83, 6 Ga 2.93
Tc 0.1658 0.1658 0.1658  6 Ga 2.64-2.65, 6 Tc 2.93

#two
Entry from Alexandria: TaGa2Tc after structural relaxation (PBE).

Properties
The value obtained for the total magnetization is 0.000 μB/atom. The value obtained for the calculated density is 11.260 Mg/m³. The calculation puts the density of states at the Fermi level at 0.5560 states/eV/atom.

abc: 4.4355 4.4355 4.4355
angles: 60.00 60.00 60.00
With the nearest neighbours (Å) after each atom.
Fractional coordinates of all 4 atoms:
Ta 0.0000 0.0000 0.0000  8 Ga 2.72
Ga 0.2500 0.2500 0.2500  4 Ta 2.72, 4 Tc 2.72
Ga 0.7500 0.7500 0.7500  4 Ta 2.72, 4 Tc 2.72
Tc 0.5000 0.5000 0.5000  8 Ga 2.72

Least stable = #two

#one
Entry from Alexandria: TaGa3Tc after structural relaxation (PBE).

Properties
The value obtained for the total magnetization is 0.000 μB/atom. The value obtained for the calculated density is 7.966 Mg/m³. The calculation puts the density of states at the Fermi level at 1.3048 states/eV/atom.

abc: 4.6686 4.6686 4.6686
angles: 90.00 90.00 90.00
With the nearest neighbours (Å) after each atom.
Fractional coordinates of all 5 atoms:
Ta 0.0000 0.0000 0.0000  12 Ga 3.30
Ga 0.0000 0.5000 0.5000  2 Tc 2.33
Ga 0.5000 0.0000 0.5000  2 Tc 2.33
Ga 0.5000 0.5000 0.0000  2 Tc 2.33
Tc 0.5000 0.5000 0.5000  6 Ga 2.33

#two
Entry from Alexandria: TaGa3Tc after structural relaxation (PBE).

Properties
The value obtained for the total magnetization is 0.788 μB/atom. The value obtained for the calculated density is 6.679 Mg/m³. The calculation puts the density of states at the Fermi level at 1.0035 states/eV/atom.

abc: 4.9509 4.9509 4.9509
angles: 90.00 90.00 90.00
With the nearest neighbours (Å) after each atom.
Fractional coordinates of all 5 atoms:
Ta 0.0000 0.0000 0.0000  6 Ga 2.48
Ga 0.0000 0.0000 0.5000  2 Ta 2.48
Ga 0.0000 0.5000 0.0000  2 Ta 2.48
Ga 0.5000 0.0000 0.0000  2 Ta 2.48
Tc 0.5000 0.5000 0.5000  12 Ga 3.50

Least stable = #two